This record from Alexandria describes a relaxed Mn2SiPPd crystal. The functional is PBE.

Results
Total magnetic moment, μB/atom: 1.30
Formation energy without anion corrections, eV/atom: 0.233

Lattice parameters (Å, degrees): 4.352 4.352 4.496 90.00 90.00 90.00
Space group P4/mmm (No. 123)
Asymmetric unit:
Mn  0.000  0.500  0.000
Si  0.000  0.000  0.500
P  0.500  0.500  0.000
Pd  0.500  0.500  0.500